{"formula": "Fe3TeF", "functional": "PBE with a Hubbard U", "state": "relaxed", "space_group": "Pm-3m (221)", "vol_a3_per_cell": 86.22, "de_polymorph_kj_per_mol_atoms": 0.0, "lattice_angstrom": [[4.4178, 0.0000, 0.0000], [0.0000, 4.4178, 0.0000], [0.0000, 0.0000, 4.4178]], "species": ["Fe", "Fe", "Fe", "Te", "F"], "fractional_positions": [[0.0000, 0.0000, 0.5000], [0.0000, 0.5000, 0.0000], [0.5000, 0.0000, 0.0000], [0.5000, 0.5000, 0.5000], [0.0000, 0.0000, 0.0000]]}